No. 1
The following is a DFT calculation (PBE+U) of SrVRuO6 after structural relaxation.

The structure in POSCAR format:
```
SrVRuO6
1.0
5.165 0.000 0.000
-2.583 4.473 0.000
0.000 0.000 5.399
Sr V Ru O
1 1 1 6
Direct
0.000 0.000 0.000 Sr
0.333 0.667 0.521 V
0.667 0.333 0.475 Ru
0.009 0.380 0.691 O
0.009 0.621 0.292 O
0.371 0.991 0.691 O
0.379 0.388 0.292 O
0.612 0.991 0.292 O
0.620 0.629 0.691 O
```

## Properties
The total energy comes out at -7.1336 eV/atom. The calculation puts the size of the total moment at 3.0 μB/f.u. Its space-group type is P3.

No. 2
The following is a DFT calculation (PBE+U) of SrV2RuO8 after structural relaxation.

The structure in POSCAR format:
```
SrV2RuO8
1.0
5.602 0.000 0.000
-2.801 4.851 0.000
0.000 0.000 6.788
Sr V Ru O
1 2 1 8
Direct
0.000 0.000 0.000 Sr
0.333 0.667 0.244 V
0.667 0.333 0.756 V
0.000 0.000 0.500 Ru
0.159 0.318 0.320 O
0.159 0.841 0.320 O
0.318 0.159 0.680 O
0.333 0.667 0.998 O
0.667 0.333 0.002 O
0.682 0.841 0.320 O
0.841 0.159 0.680 O
0.841 0.682 0.680 O
```

## Properties
The total energy comes out at -7.3011 eV/atom. The calculation puts the size of the total moment at 2.0 μB/f.u. Its space-group type is P-3m1.